This record from the Alexandria database describes crystalline SrLiRu4 at its relaxed geometry. The functional is PBE-GGA.

POSCAR file:
```
SrLiRu4
1.0
0.000 3.769 3.769
3.769 0.000 3.769
3.769 3.769 0.000
Sr Li Ru
1 1 4
Direct
0.000 0.000 0.000
0.750 0.750 0.750
0.376 0.376 0.376
0.376 0.376 0.873
0.376 0.873 0.376
0.873 0.376 0.376
```

Output
Formation energy from the elements (eV/atom): 0.450
Total magnetization (μB/cell): 3.24